The following is a DFT calculation (PBE-GGA) of a relaxed structure of YZr2Tc.

Properties
Crystal system = monoclinic
DFT total energy = -66.1 eV/cell
Energy relative to the elements = 0.863 eV per formula unit
Polymorph energy (0 for the lowest one) = 342 meV per atom

Cell: 5.9667 9.7562 3.1246 Å, 90.00 110.61 90.00°
Space group C2/m (No. 12)
One atom of each set of equivalent atoms:
Y 0.0000 0.0000 0.0000 x2
Zr 0.2500 0.2500 0.5000 x4
Tc 0.0000 0.5000 0.0000 x2

---

The following is a DFT calculation (PBE-GGA) of a relaxed structure of MgHg2P.

Properties
Crystal system = tetragonal
DFT total energy = -6.6 eV/cell
Energy relative to the elements = 0.991 eV per formula unit

Cell: 3.1875 3.1875 8.2207 Å, 90.00 90.00 90.00°
Space group P4/mmm (No. 123)
One atom of each set of equivalent atoms:
Mg 0.0000 0.0000 0.0000 x1
Hg 0.5000 0.5000 0.2460 x2
P 0.0000 0.0000 0.5000 x1

---

The following is a DFT calculation (PBE-GGA) of a relaxed structure of Na2CeNdSe4.

Properties
Crystal system = monoclinic
DFT total energy = -40.5 eV/cell
E_form (uncorrected) = -38.1 kcal/mol of atoms

Cell: 7.4133 4.2966 7.4352 Å, 90.00 109.56 90.00°
Space group P2/m (No. 10)
One atom of each set of equivalent atoms:
Na 0.0000 0.0000 0.0000 x1
Na 0.0000 0.5000 0.5000 x1
Ce 0.5000 0.0000 0.5000 x1
Nd 0.5000 0.5000 0.0000 x1
Se 0.2636 0.0000 0.7544 x2
Se 0.2642 0.5000 0.2548 x2

---

| no. | volume (Å³ per cell) |
| --- | --- |
| 1 | 170.25 |
| 2 | 83.52 |
| 3 | 223.16 |